[1]
The following is a DFT calculation (PBE) of crystalline LiZrH8Ir2 at its relaxed geometry.

abc: 4.199 4.555 5.922
angles: 64.99 69.23 62.55
Sites, in units of the cell vectors:
H: 0.901 0.031 0.680
H: 0.073 0.519 0.335
Li: 0.000 0.000 0.000
Zr: 0.500 0.500 0.500
Ir: 0.703 0.741 0.853
H: 0.748 0.383 0.122
H: 0.099 0.969 0.320
H: 0.927 0.481 0.665
Ir: 0.297 0.259 0.147
H: 0.612 0.969 0.320
H: 0.388 0.031 0.680
H: 0.252 0.617 0.878

Output
The calculation puts the magnetization at 0.00 μB/atom. The energy comes out at -0.1743 Ha/atom.

[2]
The following is a DFT calculation (PBE) of crystalline LuH3Ir at its relaxed geometry.

abc: 3.634 3.634 3.634
angles: 90.00 90.00 90.00
Sites, in units of the cell vectors:
H: 0.000 0.500 0.000
H: 0.500 0.000 0.000
Lu: 0.500 0.500 0.500
H: 0.000 0.000 0.500
Ir: 0.000 0.000 0.000

Output
The calculation puts the magnetization at 0.00 μB/atom. The energy comes out at -0.1890 Ha/atom.

[3]
The following is a DFT calculation (PBE) of crystalline Lu3H12Ir5 at its relaxed geometry.

abc: 9.928 9.928 9.928
angles: 109.47 109.47 109.47
Sites, in units of the cell vectors:
H: 0.414 0.389 0.589
Lu: 0.750 0.875 0.625
H: 0.111 0.411 0.086
Ir: 0.750 0.125 0.875
H: 0.801 0.325 0.911
Ir: 0.750 0.625 0.375
Ir: 0.000 0.000 0.000
H: 0.525 0.325 0.914
Ir: 0.000 0.500 0.500
Ir: 0.000 0.500 0.000
H: 0.475 0.801 0.889
Lu: 0.625 0.250 0.375
Lu: 0.250 0.625 0.875
Lu: 0.750 0.375 0.125
H: 0.411 0.301 0.325
Ir: 0.625 0.875 0.250
Ir: 0.250 0.875 0.125
Lu: 0.250 0.125 0.375
H: 0.475 0.675 0.086
Ir: 0.125 0.750 0.375
H: 0.911 0.086 0.611
Lu: 0.125 0.250 0.875
H: 0.825 0.911 0.301
H: 0.611 0.025 0.199
H: 0.389 0.414 0.089
H: 0.301 0.889 0.975
H: 0.611 0.586 0.911
H: 0.089 0.175 0.199
H: 0.586 0.611 0.411
H: 0.089 0.914 0.389
Ir: 0.375 0.250 0.125
H: 0.175 0.086 0.975
H: 0.389 0.975 0.801
H: 0.911 0.825 0.801
H: 0.325 0.525 0.414
Ir: 0.250 0.375 0.625
H: 0.411 0.111 0.586
H: 0.325 0.801 0.411
Ir: 0.875 0.250 0.625
H: 0.175 0.089 0.699
H: 0.586 0.975 0.675
H: 0.975 0.389 0.301
Lu: 0.875 0.750 0.125
Lu: 0.875 0.125 0.250
Ir: 0.500 0.000 0.500
H: 0.914 0.825 0.525
H: 0.675 0.199 0.589
H: 0.699 0.111 0.025
H: 0.525 0.199 0.111
H: 0.825 0.914 0.025
H: 0.589 0.889 0.414
H: 0.086 0.911 0.111
H: 0.086 0.175 0.475
Ir: 0.500 0.500 0.000
H: 0.975 0.586 0.175
H: 0.199 0.675 0.089
H: 0.414 0.025 0.325
Ir: 0.625 0.750 0.875
Ir: 0.875 0.625 0.750
Ir: 0.500 0.500 0.500
Ir: 0.375 0.125 0.750
H: 0.801 0.475 0.389
Lu: 0.125 0.875 0.750
H: 0.199 0.525 0.611
H: 0.675 0.475 0.586
H: 0.301 0.411 0.825
Lu: 0.375 0.625 0.250
H: 0.025 0.611 0.699
H: 0.889 0.301 0.475
H: 0.025 0.414 0.825
H: 0.889 0.589 0.914
Lu: 0.625 0.375 0.750
Lu: 0.375 0.750 0.625
H: 0.914 0.089 0.889
H: 0.699 0.589 0.175
H: 0.589 0.699 0.675
Ir: 0.500 0.000 0.000
H: 0.111 0.699 0.525
Ir: 0.125 0.375 0.250
Ir: 0.000 0.000 0.500

Output
The calculation puts the magnetization at 0.00 μB/atom. The energy comes out at -0.1880 Ha/atom.

[4]
The following is a DFT calculation (PBE) of crystalline Lu12H5Ir3 at its relaxed geometry.

abc: 12.758 12.758 12.758
angles: 109.47 109.47 109.47
Sites, in units of the cell vectors:
Lu: 0.310 0.783 0.406
H: 0.500 0.000 0.000
Lu: 0.878 0.283 0.473
Lu: 0.973 0.378 0.283
H: 0.500 0.000 0.500
Lu: 0.527 0.310 0.904
Lu: 0.027 0.622 0.717
H: 0.750 0.625 0.375
Lu: 0.904 0.094 0.878
H: 0.000 0.000 0.500
Lu: 0.783 0.310 0.906
Lu: 0.904 0.810 0.527
Lu: 0.094 0.904 0.378
Ir: 0.750 0.375 0.125
H: 0.875 0.250 0.625
Lu: 0.973 0.596 0.190
Lu: 0.596 0.973 0.690
Lu: 0.094 0.190 0.217
Lu: 0.810 0.906 0.283
Ir: 0.750 0.875 0.625
Lu: 0.473 0.690 0.096
Lu: 0.096 0.906 0.122
Ir: 0.375 0.625 0.250
Lu: 0.622 0.027 0.217
H: 0.500 0.500 0.000
H: 0.250 0.375 0.625
H: 0.875 0.625 0.750
Lu: 0.283 0.878 0.973
Lu: 0.878 0.594 0.904
Lu: 0.283 0.406 0.810
Lu: 0.906 0.810 0.783
H: 0.000 0.500 0.000
Lu: 0.594 0.878 0.404
Ir: 0.875 0.750 0.125
H: 0.375 0.125 0.750
Ir: 0.375 0.750 0.625
Lu: 0.717 0.122 0.027
Lu: 0.690 0.217 0.594
H: 0.125 0.750 0.375
Lu: 0.404 0.378 0.594
H: 0.625 0.750 0.875
Ir: 0.625 0.250 0.375
H: 0.000 0.500 0.500
H: 0.750 0.125 0.875
Ir: 0.250 0.625 0.875
H: 0.125 0.375 0.250
H: 0.625 0.875 0.250
Ir: 0.125 0.250 0.875
Lu: 0.406 0.283 0.310
Lu: 0.717 0.594 0.190
Lu: 0.527 0.217 0.122
Lu: 0.027 0.404 0.810
Lu: 0.122 0.406 0.096
Lu: 0.622 0.596 0.906
Lu: 0.406 0.122 0.596
Lu: 0.122 0.717 0.527
Lu: 0.783 0.473 0.378
Lu: 0.378 0.973 0.783
H: 0.500 0.500 0.500
Lu: 0.096 0.190 0.473
H: 0.000 0.000 0.000
Lu: 0.404 0.027 0.310
Lu: 0.810 0.904 0.027
Lu: 0.190 0.094 0.717
H: 0.250 0.875 0.125
Lu: 0.190 0.096 0.973
Lu: 0.217 0.527 0.622
Ir: 0.250 0.125 0.375
Lu: 0.473 0.783 0.878
Lu: 0.217 0.690 0.094
Lu: 0.594 0.717 0.690
Lu: 0.378 0.404 0.094
Lu: 0.906 0.096 0.622
Ir: 0.875 0.125 0.250
Lu: 0.310 0.527 0.404
Lu: 0.690 0.473 0.596
Ir: 0.625 0.375 0.750
H: 0.375 0.250 0.125
Ir: 0.125 0.875 0.750
Lu: 0.596 0.622 0.406

Output
The calculation puts the magnetization at 0.00 μB/atom. The energy comes out at -0.1984 Ha/atom.

[5]
The following is a DFT calculation (PBE) of crystalline LuHIr3 at its relaxed geometry.

abc: 4.059 4.059 4.059
angles: 90.00 90.00 90.00
Sites, in units of the cell vectors:
Lu: 0.500 0.500 0.500
H: 0.000 0.000 0.000
Ir: 0.000 0.000 0.500
Ir: 0.000 0.500 0.000
Ir: 0.500 0.000 0.000

Output
The calculation puts the magnetization at 0.00 μB/atom. The energy comes out at -0.2691 Ha/atom.

[6]
The following is a DFT calculation (PBE) of crystalline Mg5HIr at its relaxed geometry.

abc: 5.450 5.450 5.470
angles: 62.70 117.31 115.66
Sites, in units of the cell vectors:
Mg: 0.404 0.635 0.024
Mg: 0.596 0.026 0.430
H: 0.835 0.792 0.422
Mg: 0.068 0.553 0.412
Mg: 0.088 0.045 0.921
Ir: 0.123 0.080 0.420
Mg: 0.678 0.360 0.818

Output
The calculation puts the magnetization at 0.00 μB/atom. The calculation puts the excess energy over the best structure of this formula in the dataset at 0.0257 eV/atom.

[7]
The following is a DFT calculation (PBE) of crystalline MgH2Ir2 at its relaxed geometry.

abc: 2.985 2.985 6.207
angles: 76.09 76.09 90.00
Sites, in units of the cell vectors:
Ir: 0.650 0.650 0.700
H: 0.750 0.250 0.500
Ir: 0.350 0.350 0.300
Mg: 0.000 0.000 0.000
H: 0.250 0.750 0.500

Output
The calculation puts the magnetization at 0.00 μB/atom. The calculation puts the excess energy over the best structure of this formula in the dataset at 0.1989 eV/atom.

[8]
The following is a DFT calculation (PBE) of crystalline MgH3Ir at its relaxed geometry.

abc: 4.447 6.092 3.471
angles: 106.45 89.95 88.64
Sites, in units of the cell vectors:
H: 0.318 0.857 0.823
H: 0.640 0.191 0.998
H: 0.859 0.796 0.796
H: 0.523 0.531 0.665
Mg: 0.615 0.764 0.280
H: 0.913 0.044 0.424
Mg: 0.154 0.212 0.008
H: 0.103 0.606 0.203
Ir: 0.143 0.612 0.705
Ir: 0.660 0.253 0.528

Output
The calculation puts the magnetization at 0.00 μB/atom. The energy comes out at -0.1586 Ha/atom.

| no. | volume (Å³/atom) | DOS at the Fermi energy (states/eV/f.u.) |
| --- | --- | --- |
| 1 | 7.4 | 3.14 |
| 2 | 9.6 | 0.96 |
| 3 | 9.4 | 5.19 |
| 4 | 20.0 | 12.73 |
| 5 | 13.4 | 4.57 |
| 6 | 17.6 | 2.19 |
| 7 | 10.4 | 2.35 |
| 8 | 9.0 | 1.00 |